1.
Ho2BeHg | PBE | optimized geometry

It has space group P4/mmm (No. 123), with a = 3.485 Å, b = 3.485 Å, c = 7.355 Å, α = 90.00°, β = 90.00° and γ = 90.00°. Symmetry generates all atoms from Ho at (0.000, 0.000, 0.221), Be at (0.500, 0.500, 0.000) and Hg at (0.500, 0.500, 0.500).

As for the calculated total energy: -3.497 eV per atom.

2.
AcFeGe4 | PBE | optimized geometry

It has space group Pmma (No. 51), with a = 7.744 Å, b = 4.080 Å, c = 7.616 Å, α = 90.00°, β = 90.00° and γ = 90.00°. Symmetry generates all atoms from Ac at (0.250, 0.000, 0.155), Fe at (0.250, 0.000, 0.694), Ge at (0.000, 0.000, 0.500), Ge at (0.085, 0.500, 0.825) and Ge at (0.250, 0.500, 0.485).

As for the calculated total energy: -5.435 eV per atom.

3.
NaOs2PbF | PBE | optimized geometry

It has space group P4/mmm (No. 123), with a = 5.090 Å, b = 5.090 Å, c = 6.508 Å, α = 90.00°, β = 90.00° and γ = 90.00°. Symmetry generates all atoms from Na at (0.000, 0.000, 0.000), Os at (0.000, 0.500, 0.500), Pb at (0.000, 0.000, 0.500) and F at (0.500, 0.500, 0.000).

As for the formation energy from raw total energies: 1.82 eV per atom. As for the calculated total energy: -4.055 eV per atom.